Entry w
Cs2TeAu2 | PBE | optimized geometry

Cell and atoms, written as POSCAR:
```
Cs2TeAu2
1.0
7.1852 0.0000 0.0000
0.0000 7.1852 0.0000
3.5926 3.5926 4.0286
Au Cs Te
2 2 1
direct
0.3383 0.3383 0.3233
0.6617 0.6617 0.6767
0.2500 0.7500 0.5000
0.7500 0.2500 0.5000
0.0000 0.0000 0.0000
```

Properties
- SG = I4/mmm, No. 139
- magnetization (μB per formula unit) = 0.000
- N(E_F) (states/eV/atom) = 0.00
- density (g cm⁻³) = 6.29

---

Entry x
Cs2TeAu2 | PBE | optimized geometry

Cell and atoms, written as POSCAR:
```
Cs2TeAu2
1.0
7.8711 0.0000 0.0000
0.0000 7.8711 0.0000
0.0000 0.0000 5.5951
Cs Au Te
4 4 2
direct
0.6823 0.8177 0.5000
0.3177 0.1823 0.5000
0.8177 0.3177 0.5000
0.1823 0.6823 0.5000
0.3748 0.8748 0.0000
0.6252 0.1252 0.0000
0.1252 0.3748 0.0000
0.8748 0.6252 0.0000
0.0000 0.0000 0.0000
0.5000 0.5000 0.0000
```

Properties
- SG = P4/mbm, No. 127
- magnetization (μB per formula unit) = 0.000
- N(E_F) (states/eV/atom) = 0.00
- density (g cm⁻³) = 7.54

---

Which structure is the most stable? The one labeled entry w.

---

Entry w
CsTe4Au | PBE | optimized geometry

Cell and atoms, written as POSCAR:
```
CsTe4Au
1.0
-4.6780 -8.4668 -1.9546
4.7522 -3.9145 5.5831
-6.7844 9.6819 -0.7891
Cs Te Au
2 8 2
direct
0.1607 0.7500 0.0000
0.8393 0.2500 0.0000
0.2983 0.1966 0.7300
0.9738 0.0412 0.3399
0.0262 0.9588 0.6601
0.3661 0.5412 0.3399
0.7017 0.8034 0.2700
0.4317 0.6966 0.7300
0.6339 0.4588 0.6601
0.5683 0.3034 0.2700
0.0000 0.5000 0.5000
0.5000 0.0000 0.5000
```

Properties
- SG = C2/c, No. 15
- magnetization (μB per formula unit) = 0.000
- N(E_F) (states/eV/atom) = 0.12
- density (g cm⁻³) = 5.70

---

Entry x
CsTe4Au | PBE | optimized geometry

Cell and atoms, written as POSCAR:
```
CsTe4Au
1.0
-3.5081 2.8358 -4.3933
1.6232 -4.4385 -4.1611
-8.9335 -6.2019 3.1303
Te Cs Au
8 2 2
direct
0.0000 0.7480 0.7948
0.5000 0.7520 0.7052
0.7520 0.5000 0.2948
0.5000 0.2480 0.7052
0.7480 0.0000 0.2052
0.0000 0.2520 0.7948
0.2520 0.0000 0.2052
0.2480 0.5000 0.2948
0.0000 0.0000 0.5000
0.5000 0.5000 0.0000
0.0000 0.0000 0.0000
0.5000 0.5000 0.5000
```

Properties
- SG = P4_2/nmc, No. 137
- magnetization (μB per formula unit) = 0.000
- N(E_F) (states/eV/atom) = 0.36
- density (g cm⁻³) = 6.22

---

Which structure is the most stable? The one labeled entry x.

---

Entry w
Cs3Te2Au | PBE | optimized geometry

Cell and atoms, written as POSCAR:
```
Cs3Te2Au
1.0
8.3504 0.0000 -3.2961
0.0000 12.9426 0.0000
-0.3242 0.0000 12.2689
Cs Au Te
12 4 8
direct
0.7715 0.5720 0.5263
0.6028 0.2296 0.3143
0.6924 0.4829 0.8901
0.1028 0.2704 0.8143
0.8972 0.7296 0.1857
0.3972 0.7704 0.6857
0.2285 0.4280 0.4737
0.8076 0.9829 0.6099
0.7285 0.0720 0.9737
0.2715 0.9280 0.0263
0.1924 0.0171 0.3901
0.3076 0.5171 0.1099
0.5434 0.8296 0.3267
0.4566 0.1704 0.6733
0.0434 0.6704 0.8267
0.9566 0.3296 0.1733
0.7255 0.9622 0.2733
0.2255 0.5378 0.7733
0.3474 0.7034 0.3718
0.6526 0.2966 0.6282
0.8474 0.7966 0.8718
0.1526 0.2034 0.1282
0.7745 0.4622 0.2267
0.2745 0.0378 0.7267
```

Properties
- SG = P2_1/c, No. 14
- magnetization (μB per formula unit) = 0.000
- N(E_F) (states/eV/atom) = 0.00
- density (g cm⁻³) = 4.31

---

Entry x
Cs3Te2Au | PBE | optimized geometry

Cell and atoms, written as POSCAR:
```
Cs3Te2Au
1.0
-3.4111 -6.1745 -5.4735
8.9550 0.0622 -5.6510
-0.1080 -2.1074 9.7269
Cs Au Te
6 2 4
direct
0.1996 0.9496 0.3992
0.8004 0.5504 0.6008
0.8004 0.0504 0.6008
0.1996 0.4496 0.3992
0.5000 0.7500 0.0000
0.5000 0.2500 0.0000
0.0000 0.0000 0.0000
0.0000 0.5000 0.0000
0.8591 0.1049 0.2097
0.3506 0.6049 0.2097
0.1409 0.8951 0.7903
0.6494 0.3951 0.7903
```

Properties
- SG = Ibam, No. 72
- magnetization (μB per formula unit) = 0.000
- density (g cm⁻³) = 4.18

---

Which structure is the most stable? The one labeled entry w.